Entry 1:
Compound: NiHg5Pd6
Source: the Alexandria database
Functional: GGA-PBE
Structure: relaxed

Results
- Crystal system: monoclinic

Unit cell a=8.6348 b=12.9293 c=4.3099 alpha=90.00 beta=119.85 gamma=90.00
Closest atoms and distances in Å follow each position.
Space group C2/m (No. 12)
One atom of each set of equivalent atoms:
Ni: 0.0000 0.0000 0.0000 (multiplicity 2)  8 Pd 2.78-2.82, 4 Hg 2.99
Hg: 0.0000 0.1604 0.5000 (multiplicity 4)  8 Pd 2.76-2.99, 2 Ni 2.99
Hg: 0.0000 0.3326 0.0000 (multiplicity 4)  8 Pd 2.86-2.90, 4 Hg 3.05-3.10
Hg: 0.0000 0.5000 0.5000 (multiplicity 2)  8 Pd 2.84-2.89, 4 Hg 3.05
Pd: 0.2430 0.0000 0.7430 (multiplicity 4)  6 Hg 2.76-2.90, 2 Ni 2.82, 4 Pd 3.01
Pd: 0.2439 0.1623 0.2437 (multiplicity 8)  1 Ni 2.78, 7 Hg 2.82-2.99, 2 Pd 3.01

Entry 2:
Compound: NiHg2Pd
Source: the Alexandria database
Functional: GGA-PBE
Structure: relaxed

Results
- Energy relative to the lowest polymorph listed for this composition: 0 meV per atom
- Crystal system: tetragonal

Unit cell a=3.1159 b=3.1159 c=7.0008 alpha=90.00 beta=90.00 gamma=90.00
Closest atoms and distances in Å follow each position.
Space group P4/mmm (No. 123)
One atom of each set of equivalent atoms:
Ni: 0.0000 0.0000 0.0000 (multiplicity 1)  8 Hg 2.75
Hg: 0.5000 0.5000 0.2340 (multiplicity 2)  4 Ni 2.75, 4 Pd 2.88
Pd: 0.0000 0.0000 0.5000 (multiplicity 1)  8 Hg 2.88, 4 Pd 3.12

Entry 3:
Compound: NiHgPd3
Source: the Alexandria database
Functional: GGA-PBE
Structure: relaxed

Results
- Energy relative to the lowest polymorph listed for this composition: 561 meV per atom
- Crystal system: cubic

Unit cell a=4.6062 b=4.6062 c=4.6062 alpha=90.00 beta=90.00 gamma=90.00
Closest atoms and distances in Å follow each position.
Space group Pm-3m (No. 221)
One atom of each set of equivalent atoms:
Ni: 0.0000 0.0000 0.0000 (multiplicity 1)  6 Pd 2.30
Hg: 0.5000 0.5000 0.5000 (multiplicity 1)  12 Pd 3.26
Pd: 0.0000 0.0000 0.5000 (multiplicity 3)  2 Ni 2.30

Entry 4:
Compound: Ni2HgPd8
Source: the Alexandria database
Functional: GGA-PBE
Structure: relaxed

Results
- Crystal system: monoclinic

Unit cell a=14.0570 b=3.9620 c=6.2782 alpha=90.00 beta=106.75 gamma=90.00
Closest atoms and distances in Å follow each position.
Space group C2/m (No. 12)
One atom of each set of equivalent atoms:
Ni: 0.2271 0.0000 0.1385 (multiplicity 4)  10 Pd 2.62-2.82, 2 Ni 2.83
Hg: 0.0000 0.5000 0.5000 (multiplicity 2)  12 Pd 2.79-2.88
Pd: 0.0491 0.0000 0.2237 (multiplicity 4)  1 Ni 2.70, 9 Pd 2.75-2.95, 2 Hg 2.85
Pd: 0.1005 0.5000 0.9680 (multiplicity 4)  3 Ni 2.67-2.69, 8 Pd 2.73-2.97, 1 Hg 2.87
Pd: 0.1465 0.0000 0.7073 (multiplicity 4)  3 Ni 2.62-2.65, 6 Pd 2.71-2.90, 2 Hg 2.88
Pd: 0.1847 0.5000 0.4182 (multiplicity 4)  8 Pd 2.70-2.84, 3 Ni 2.70-2.82, 1 Hg 2.79

Entry 5:
Compound: NiHg6Pd12
Source: the Alexandria database
Functional: GGA-PBE
Structure: relaxed

Results
- Crystal system: trigonal

Unit cell a=11.1411 b=11.1411 c=9.3312 alpha=90.00 beta=90.00 gamma=120.00
Closest atoms and distances in Å follow each position.
Space group R-3 (No. 148, hexagonal axes)
One atom of each set of equivalent atoms:
Ni: 0.0000 0.0000 0.0000 (multiplicity 3)  6 Pd 2.84, 6 Hg 2.89
Hg: 0.0872 0.9117 0.7492 (multiplicity 18)  7 Pd 2.79-2.96, 1 Ni 2.89, 2 Hg 2.93
Pd: 0.9997 0.2550 0.9996 (multiplicity 18)  4 Hg 2.79-2.84, 6 Pd 2.80-3.03, 1 Ni 2.84
Pd: 0.0656 0.5333 0.1212 (multiplicity 18)  5 Pd 2.59-2.81, 1 Hg 2.89

Entry 6:
Compound: NiHgPd3
Source: the Alexandria database
Functional: GGA-PBE
Structure: relaxed

Results
- Energy relative to the lowest polymorph listed for this composition: 0 meV per atom
- Crystal system: orthorhombic

Unit cell a=7.8699 b=3.0264 c=6.7865 alpha=90.00 beta=90.00 gamma=90.00
Closest atoms and distances in Å follow each position.
Space group Pmma (No. 51)
One atom of each set of equivalent atoms:
Ni: 0.0000 0.0000 0.0000 (multiplicity 2)  8 Pd 2.52-2.58
Hg: 0.2500 0.0000 0.4155 (multiplicity 2)  10 Pd 2.84-2.99, 2 Hg 3.03
Pd: 0.0616 0.5000 0.7013 (multiplicity 4)  2 Ni 2.58, 1 Pd 2.86, 2 Hg 2.87
Pd: 0.2500 0.5000 0.0619 (multiplicity 2)  4 Ni 2.52

Entry 7:
Compound: Ni4HgPd
Source: the Alexandria database
Functional: GGA-PBE
Structure: relaxed

Results
- Crystal system: cubic

Unit cell a=6.8149 b=6.8149 c=6.8149 alpha=90.00 beta=90.00 gamma=90.00
Closest atoms and distances in Å follow each position.
Space group F-43m (No. 216)
One atom of each set of equivalent atoms:
Ni: 0.1246 0.1246 0.1246 (multiplicity 16)  6 Ni 2.40-2.42
Hg: 0.0000 0.0000 0.5000 (multiplicity 4)  12 Ni 2.83, 4 Pd 2.95
Pd: 0.2500 0.2500 0.7500 (multiplicity 4)  12 Ni 2.82, 4 Hg 2.95

Entry 8:
Compound: NiHgPd4
Source: the Alexandria database
Functional: GGA-PBE
Structure: relaxed

Results
- Energy relative to the lowest polymorph listed for this composition: 0 meV per atom
- Crystal system: monoclinic

Unit cell a=4.8724 b=8.4320 c=4.8457 alpha=90.00 beta=109.15 gamma=90.00
Closest atoms and distances in Å follow each position.
Space group C2/m (No. 12)
One atom of each set of equivalent atoms:
Ni: 0.0000 0.0000 0.0000 (multiplicity 2)  10 Pd 2.78-2.83, 2 Hg 2.82
Hg: 0.0000 0.5000 0.5000 (multiplicity 2)  10 Pd 2.80-2.84, 2 Ni 2.82
Pd: 0.0000 0.1629 0.5000 (multiplicity 4)  7 Pd 2.75-2.85, 2 Ni 2.78, 3 Hg 2.80-2.84
Pd: 0.0000 0.3295 0.0000 (multiplicity 4)  3 Ni 2.78-2.83, 7 Pd 2.78-2.88, 2 Hg 2.82

Entry 9:
Compound: NiHgPd14
Source: the Alexandria database
Functional: GGA-PBE
Structure: relaxed

Results
- Crystal system: orthorhombic

Unit cell a=9.2072 b=5.5909 c=9.6782 alpha=90.00 beta=90.00 gamma=90.00
Closest atoms and distances in Å follow each position.
Space group Amm2 (No. 38)
One atom of each set of equivalent atoms:
Ni: 0.0000 0.0000 0.0000 (multiplicity 2)  10 Pd 2.77-2.80, 2 Hg 2.80
Hg: 0.0000 0.0000 0.5002 (multiplicity 2)  10 Pd 2.79-2.84, 2 Ni 2.80
Pd: 0.0000 0.2492 0.2508 (multiplicity 4)  8 Pd 2.79-2.83, 2 Hg 2.79-2.80, 2 Ni 2.79-2.80
Pd: 0.2459 0.0000 0.8359 (multiplicity 4)  1 Ni 2.77, 11 Pd 2.77-2.85
Pd: 0.2489 0.2462 0.0842 (multiplicity 8)  10 Pd 2.75-2.84, 1 Ni 2.79, 1 Hg 2.82
Pd: 0.2535 0.0000 0.3334 (multiplicity 4)  11 Pd 2.78-2.83, 1 Hg 2.84
Pd: 0.5000 0.0000 0.1674 (multiplicity 2)  12 Pd 2.78-2.81
Pd: 0.5000 0.0000 0.6681 (multiplicity 2)  12 Pd 2.79-2.85
Pd: 0.5000 0.2490 0.9178 (multiplicity 4)  12 Pd 2.78-2.84

Entry 10:
Compound: NiHg3Pd
Source: the Alexandria database
Functional: GGA-PBE
Structure: relaxed

Results
- Energy relative to the lowest polymorph listed for this composition: 283 meV per atom
- Crystal system: cubic

Unit cell a=5.2010 b=5.2010 c=5.2010 alpha=90.00 beta=90.00 gamma=90.00
Closest atoms and distances in Å follow each position.
Space group Pm-3m (No. 221)
One atom of each set of equivalent atoms:
Ni: 0.0000 0.0000 0.0000 (multiplicity 1)  12 Hg 3.68
Hg: 0.0000 0.5000 0.5000 (multiplicity 3)  2 Pd 2.60
Pd: 0.5000 0.5000 0.5000 (multiplicity 1)  6 Hg 2.60

Entry 11:
Compound: Ni2Hg2Pd
Source: the Alexandria database
Functional: GGA-PBE
Structure: relaxed

Results
- Crystal system: tetragonal

Unit cell a=6.6259 b=6.6259 c=3.7271 alpha=90.00 beta=90.00 gamma=90.00
Closest atoms and distances in Å follow each position.
Space group P4/mbm (No. 127)
One atom of each set of equivalent atoms:
Ni: 0.1251 0.3749 0.0000 (multiplicity 4)  1 Ni 2.34, 2 Pd 2.62
Hg: 0.1750 0.6750 0.5000 (multiplicity 4)  6 Ni 2.64-2.75
Pd: 0.0000 0.0000 0.0000 (multiplicity 2)  4 Ni 2.62

Entry 12:
Compound: Ni2HgPd
Source: the Alexandria database
Functional: GGA-PBE
Structure: relaxed

Results
- Crystal system: tetragonal

Unit cell a=3.7983 b=3.7983 c=18.0680 alpha=90.00 beta=90.00 gamma=90.00
Closest atoms and distances in Å follow each position.
Space group I-42d (No. 122)
One atom of each set of equivalent atoms:
Ni: 0.2087 0.2500 0.1250 (multiplicity 8)  2 Ni 2.47, 2 Pd 2.58, 2 Hg 2.69
Hg: 0.0000 0.0000 0.5000 (multiplicity 4)  4 Pd 2.69, 4 Ni 2.69
Pd: 0.0000 0.0000 0.0000 (multiplicity 4)  4 Ni 2.58, 4 Hg 2.69

Entry 13:
Compound: Ni2HgPd
Source: the Alexandria database
Functional: GGA-PBE
Structure: relaxed

Results
- Crystal system: tetragonal

Unit cell a=3.9479 b=3.9479 c=3.7214 alpha=90.00 beta=90.00 gamma=90.00
Closest atoms and distances in Å follow each position.
Space group P4/mmm (No. 123)
One atom of each set of equivalent atoms:
Ni: 0.0000 0.5000 0.0000 (multiplicity 2)  4 Hg 2.71, 4 Pd 2.71, 4 Ni 2.79
Hg: 0.0000 0.0000 0.5000 (multiplicity 1)  8 Ni 2.71, 4 Pd 2.79
Pd: 0.5000 0.5000 0.5000 (multiplicity 1)  8 Ni 2.71, 4 Hg 2.79

The following calculated volume values (in Å³ per atom) correspond, in order, to the records above: 17.39, 16.99, 19.55, 15.22, 17.60, 16.16, 13.19, 15.67, 15.57, 28.14, 16.36, 16.29, 14.50.
The following formation energy values (in eV per atom) correspond, in order, to the records above: -0.10, 0.04, 0.60, -0.01, 0.01, 0.04, 0.10, 0.00, 0.01, 0.72, 0.16, 0.44, 0.13.